Record 1
Below is LaScAg at its PBEsol-relaxed geometry, with properties calculated at the SCAN level.

abc: 3.4782 3.4782 6.6536
angles: 105.15 105.15 90.00
Site moments in Bohr magnetons follow the coordinates.
Atoms (fractional coordinates):
Sc 0.3624 0.3624 0.7248  0.29
Ag 0.9786 0.9786 0.9573  0.01
La 0.6590 0.6590 0.3179  0.30

***

Record 2
Below is LaScAg at its PBEsol-relaxed geometry, with properties calculated at the SCAN level.

abc: 4.7896 4.7896 4.7896
angles: 60.00 60.00 60.00
Atoms (fractional coordinates):
Ag 0.0000 0.0000 0.0000
La 0.5000 0.5000 0.5000
Sc 0.2500 0.2500 0.2500

***

Record 3
Below is LaScAg at its PBEsol-relaxed geometry, with properties calculated at the SCAN level.

abc: 4.8505 4.8505 4.8505
angles: 60.00 60.00 60.00
Atoms (fractional coordinates):
Ag 0.5000 0.5000 0.5000
La 0.2500 0.2500 0.2500
Sc 0.0000 0.0000 0.0000

***

So what do the calculations give for energy above the lowest structure with this stoichiometry? Going down the list: 0; 521; 773 meV per atom.
So what do the calculations give for DFT total energy? Going down the list: -29.747; -29.225; -28.973 eV per atom.